No. 1
The following is a DFT calculation (GGA-PBE) of a relaxed Be2CuBr crystal.

Values from the calculation:
- Uncorrected formation energy: 0.12 eV/atom
- Total moment: 0.00 μB/cell
- ΔE to the lowest computed polymorph: 0.000 eV/atom

Cell: 3.8319 3.8319 5.8110 Å, 109.39 109.39 59.61°
Last column: nearest neighbours and their distance in Å.
Element x y z (fractional)
Be: 0.8872 0.8872 0.1595  1 Br 2.20, 3 Cu 2.26, 3 Be 2.40-2.43
Be: 0.6128 0.6128 0.3405  1 Br 2.20, 3 Cu 2.26, 3 Be 2.40-2.43
Cu: 0.2500 0.2500 0.2500  6 Be 2.26
Br: 0.7500 0.7500 0.7500  2 Be 2.20



No. 2
The following is a DFT calculation (GGA-PBE) of a relaxed NdPaAlO6 crystal.

Values from the calculation:
- Uncorrected formation energy: -2.93 eV/atom
- Total moment: 0.85 μB/cell

Cell: 4.7540 5.4589 5.4589 Å, 120.00 90.00 90.00°
Last column: nearest neighbours and their distance in Å.
Element x y z (fractional)
Nd: 0.5000 0.6667 0.3333  6 O 2.35
Pa: 0.0000 0.3333 0.6667  6 O 2.20
Al: 0.5000 0.0000 0.0000  6 O 1.96
O: 0.7341 0.6885 0.7226  1 Al 1.96
O: 0.7341 0.2774 0.9659  1 Al 1.96
O: 0.7341 0.0341 0.3115  1 Al 1.96
O: 0.2659 0.2774 0.3115  1 Al 1.96
O: 0.2659 0.6885 0.9659  1 Al 1.96
O: 0.2659 0.0341 0.7226  1 Al 1.96



No. 3
The following is a DFT calculation (GGA-PBE) of a relaxed Cr2CdI crystal.

Values from the calculation:
- Uncorrected formation energy: 0.84 eV/atom
- Total moment: 18.35 μB/cell
- ΔE to the lowest computed polymorph: 0.017 eV/atom

Cell: 4.8006 4.8006 9.9228 Å, 76.00 76.00 90.00°
Last column: nearest neighbours and their distance in Å.
Element x y z (fractional)
I: 0.0000 0.0000 0.0000  4 Cr 2.92
I: 0.7500 0.2500 0.5000  4 Cr 2.92
Cr: 0.6088 0.1250 0.2500  2 Cd 2.85, 2 I 2.92
Cr: 0.1412 0.6250 0.2500  2 Cd 2.85, 2 I 2.92
Cr: 0.3750 0.3912 0.7500  2 Cd 2.85, 2 I 2.92
Cr: 0.8750 0.8588 0.7500  2 Cd 2.85, 2 I 2.92
Cd: 0.5000 0.5000 0.0000  4 Cr 2.85
Cd: 0.2500 0.7500 0.5000  4 Cr 2.85



No. 4
The following is a DFT calculation (GGA-PBE) of a relaxed PmSnBi crystal.

Values from the calculation:
- DFT formation energy: -0.666 eV per atom
- Total moment: 0.00 μB/cell
- ΔE to the lowest computed polymorph: 0.000 eV/atom

Cell: 4.4987 4.6348 8.8265 Å, 105.22 90.00 90.00°
Last column: nearest neighbours and their distance in Å.
Element x y z (fractional)
Pm: 0.2500 0.0994 0.1989  6 Sn 3.30-3.55, 4 Bi 3.42-3.45
Pm: 0.7500 0.9006 0.8011  6 Sn 3.30-3.55, 4 Bi 3.42-3.45
Sn: 0.2500 0.4415 0.8831  2 Sn 3.00, 4 Pm 3.30
Sn: 0.7500 0.5585 0.1169  2 Sn 3.00, 4 Pm 3.30
Bi: 0.2500 0.7495 0.4989  4 Bi 3.23, 4 Pm 3.42-3.45
Bi: 0.7500 0.2505 0.5011  4 Bi 3.23, 4 Pm 3.42-3.45



No. 5
The following is a DFT calculation (GGA-PBE) of a relaxed LiGeB crystal.

Values from the calculation:
- DFT formation energy: 0.080 eV per atom
- Total moment: 0.00 μB/cell

Cell: 13.2328 5.1638 5.1638 Å, 145.56 150.89 29.11°
Last column: nearest neighbours and their distance in Å.
Element x y z (fractional)
Ge: 0.9540 0.6956 0.3044  2 B 2.26-2.33
Ge: 0.7248 0.7294 0.2706  1 B 2.12
B: 0.1034 0.7267 0.2733  2 B 1.66
B: 0.1170 0.2764 0.7236  2 B 1.66
Li: 0.3312 0.6444 0.3556  3 B 2.30-2.31
Li: 0.5197 0.6966 0.3034  1 B 2.31



No. 6
The following is a DFT calculation (GGA-PBE) of a relaxed Li3In2 crystal.

Values from the calculation:
- DFT formation energy: -0.299 eV per atom
- Total moment: 0.00 μB/cell
- ΔE to the lowest computed polymorph: 0.000 eV/atom

Cell: 5.6032 5.6032 5.6032 Å, 50.03 50.03 50.03°
Last column: nearest neighbours and their distance in Å.
Element x y z (fractional)
In: 0.2094 0.2094 0.2094  5 Li 2.85-3.07, 3 In 3.01
In: 0.7906 0.7906 0.7906  5 Li 2.85-3.07, 3 In 3.01
Li: 0.0000 0.0000 0.0000  6 Li 2.93, 2 In 3.07
Li: 0.5960 0.5960 0.5960  4 Li 2.82-2.93, 4 In 2.85
Li: 0.4040 0.4040 0.4040  4 Li 2.82-2.93, 4 In 2.85



No. 7
The following is a DFT calculation (GGA-PBE) of a relaxed Cs2ThCl2F4 crystal.

Values from the calculation:
- Uncorrected formation energy: -3.07 eV/atom
- Total moment: 0.20 μB/cell

Cell: 7.2452 7.2452 7.2452 Å, 91.77 118.98 118.98°
Last column: nearest neighbours and their distance in Å.
Element x y z (fractional)
Cs: 0.5000 0.7500 0.2500  8 F 3.64, 4 Cl 3.68
Cs: 0.5000 0.2500 0.7500  8 F 3.64, 4 Cl 3.68
Th: 0.0000 0.0000 0.0000  4 F 2.20
Cl: 0.0000 0.7279 0.7279  1 Th 2.74
Cl: 0.0000 0.2721 0.2721  1 Th 2.74
F: 0.0000 0.7884 0.2116  1 Th 2.20
F: 0.5768 0.7884 0.7884  1 Th 2.20
F: 0.0000 0.2116 0.7884  1 Th 2.20
F: 0.4232 0.2116 0.2116  1 Th 2.20



No. 8
The following is a DFT calculation (GGA-PBE) of a relaxed Mn3Mo crystal.

Values from the calculation:
- DFT formation energy: 0.204 eV per atom
- Total moment: 0.71 μB/cell

Cell: 2.6246 4.5429 4.4370 Å, 101.30 90.00 106.79°
Last column: nearest neighbours and their distance in Å.
Element x y z (fractional)
Mn: 0.9870 0.9740 0.9760  9 Mn 2.45-2.73, 3 Mo 2.60-2.70
Mn: 0.5130 0.0260 0.5240  9 Mn 2.45-2.73, 3 Mo 2.60-2.70
Mn: 0.2500 0.5000 0.7500  8 Mn 2.48-2.68, 4 Mo 2.58
Mo: 0.7500 0.5000 0.2500  10 Mn 2.58-2.70, 2 Mo 2.62



No. 9
The following is a DFT calculation (GGA-PBE) of a relaxed SrBi6Pd6 crystal.

Values from the calculation:
- DFT formation energy: -0.336 eV per atom
- Total moment: 0.00 μB/cell

Cell: 5.9467 7.6721 7.6721 Å, 77.50 67.20 67.20°
Last column: nearest neighbours and their distance in Å.
Element x y z (fractional)
Sr: 0.0000 0.0000 0.0000  8 Bi 3.24-3.52
Bi: 0.3386 0.6614 0.6614  6 Pd 2.97-2.99
Bi: 0.6614 0.3386 0.3386  6 Pd 2.97-2.99
Bi: 0.0000 0.3376 0.6624  6 Pd 3.11, 1 Bi 3.12, 1 Sr 3.24
Bi: 0.0000 0.6624 0.3376  6 Pd 3.11, 1 Bi 3.12, 1 Sr 3.24
Bi: 0.3286 0.1714 0.1714  6 Pd 2.93-2.94
Bi: 0.6714 0.8286 0.8286  6 Pd 2.93-2.94
Pd: 0.0000 0.5000 0.0000  6 Bi 2.94-3.11, 4 Pd 2.97-2.99
Pd: 0.5000 0.5000 0.0000  6 Bi 2.94-3.11, 4 Pd 2.97-2.99
Pd: 0.0000 0.0000 0.5000  6 Bi 2.94-3.11, 4 Pd 2.97-2.99
Pd: 0.5000 0.0000 0.5000  6 Bi 2.94-3.11, 4 Pd 2.97-2.99
Pd: 0.5000 0.7572 0.2428  6 Bi 2.93-3.11, 4 Pd 2.99
Pd: 0.5000 0.2428 0.7572  6 Bi 2.93-3.11, 4 Pd 2.99



No. 10
The following is a DFT calculation (GGA-PBE) of a relaxed CaPaCu10 crystal.

Values from the calculation:
- DFT formation energy: -0.058 eV per atom
- Total moment: 0.43 μB/cell

Cell: 4.0799 5.1123 8.7022 Å, 90.00 90.00 90.00°
Last column: nearest neighbours and their distance in Å.
Element x y z (fractional)
Ca: 0.0000 0.0000 0.0000  6 Cu 2.92-2.94
Pa: 0.0000 0.5000 0.5000  14 Cu 2.89-3.19
Cu: 0.0000 0.0000 0.3353  6 Cu 2.49-2.52
Cu: 0.0000 0.5000 0.8326  6 Cu 2.51-2.52
Cu: 0.0000 0.5000 0.1674  6 Cu 2.51-2.52
Cu: 0.0000 0.0000 0.6647  6 Cu 2.49-2.52
Cu: 0.5000 0.0000 0.5000  8 Cu 2.48-2.49
Cu: 0.5000 0.5000 0.0000  8 Cu 2.51-2.57
Cu: 0.5000 0.2562 0.2580  8 Cu 2.48-2.62
Cu: 0.5000 0.7438 0.7420  8 Cu 2.48-2.62
Cu: 0.5000 0.7438 0.2580  8 Cu 2.48-2.62
Cu: 0.5000 0.2562 0.7420  8 Cu 2.48-2.62



No. 11
The following is a DFT calculation (GGA-PBE) of a relaxed HgSbTe2C crystal.

Values from the calculation:
- Uncorrected formation energy: 0.97 eV/atom
- Total moment: 0.00 μB/cell
- ΔE to the lowest computed polymorph: 0.000 eV/atom

Cell: 4.9567 4.9567 4.7775 Å, 90.00 90.00 90.00°
Last column: nearest neighbours and their distance in Å.
Element x y z (fractional)
Sb: 0.0000 0.0000 0.5000  2 C 2.39
C: 0.0000 0.0000 0.0000  2 Sb 2.39, 4 Te 2.48
Te: 0.0000 0.5000 0.0000  2 C 2.48
Te: 0.5000 0.0000 0.0000  2 C 2.48
Hg: 0.5000 0.5000 0.5000  8 Te 3.44, 4 Sb 3.50



No. 12
The following is a DFT calculation (GGA-PBE) of a relaxed KZnCd2 crystal.

Values from the calculation:
- DFT formation energy: 0.133 eV per atom
- Total moment: 0.00 μB/cell

Cell: 4.7422 4.7438 5.0317 Å, 90.00 90.00 90.00°
Last column: nearest neighbours and their distance in Å.
Element x y z (fractional)
Cd: 0.0000 0.0000 0.0000  4 Cd 3.35, 4 K 3.46, 4 Zn 3.46
Cd: 0.5000 0.5000 0.0000  4 Cd 3.35, 4 Zn 3.46, 4 K 3.46
K: 0.5000 0.0000 0.5000  4 Zn 3.35, 8 Cd 3.46
Zn: 0.0000 0.5000 0.5000  4 K 3.35, 8 Cd 3.46